Compound: Pm2Nd4Sm2Ho
Source: Alexandria
Functional: GGA-PBE
Structure: relaxed

```
Pm2Nd4Sm2Ho
1.0
7.737 -2.580 0.000
7.737 2.580 0.000
-2.592 0.000 7.713
Pm Nd Sm Ho
2 4 2 1
direct
0.111 0.111 0.169
0.889 0.889 0.831
0.222 0.222 0.832
0.445 0.445 0.168
0.555 0.555 0.832
0.778 0.778 0.168
0.334 0.334 0.500
0.666 0.666 0.500
0.000 0.000 0.500
```

Properties
ΔE_f (eV/atom): 0.01
SG: C2/m (12)